(1)
# SiRu2

SiRu2 at its PBEsol-relaxed geometry (SCAN, the Alexandria database).

a = 7.599 Å, b = 7.599 Å, c = 7.599 Å
α = 60.00°, β = 60.00°, γ = 60.00°
Atoms (fractional coordinates):
Ru 0.683 0.317 0.683
Ru 0.567 0.567 0.933
Si 0.905 0.905 0.285
Si 0.965 0.345 0.345
Ru 0.317 0.683 0.317
Ru 0.317 0.317 0.683
Si 0.345 0.345 0.345
Ru 0.567 0.933 0.933
Ru 0.933 0.933 0.567
Si 0.905 0.285 0.905
Ru 0.625 0.125 0.125
Ru 0.933 0.567 0.567
Ru 0.125 0.125 0.125
Si 0.285 0.905 0.905
Ru 0.317 0.683 0.683
Ru 0.125 0.625 0.125
Si 0.905 0.905 0.905
Ru 0.125 0.125 0.625
Ru 0.567 0.933 0.567
Ru 0.683 0.317 0.317
Ru 0.683 0.683 0.317
Ru 0.933 0.567 0.933
Si 0.345 0.965 0.345
Si 0.345 0.345 0.965

For the calculated volume, the calculation gives 310 Å³ per cell. As for the crystal system: cubic. The uncorrected formation energy comes out at -1.27 eV per formula unit. The magnetic moment is 0.000 μB/f.u.

***

(2)
# YGa2CuW

YGa2CuW at its PBEsol-relaxed geometry (SCAN, the Alexandria database).

a = 4.430 Å, b = 4.430 Å, c = 4.792 Å
α = 90.00°, β = 90.00°, γ = 90.00°
Atoms (fractional coordinates):
Ga 0.500 0.000 0.000
W 0.000 0.000 0.500
Ga 0.000 0.500 0.000
Cu 0.000 0.000 0.000
Y 0.500 0.500 0.500

For the calculated volume, the calculation gives 94 Å³ per cell. As for the crystal system: tetragonal. As for the formation energy: 422 meV per atom. The magnetic moment is 0.000 μB/f.u.